CaPmCdGe: relaxed, PBE-GGA.

Summary:
Magnetization, μB per cell: 0.0
DFT formation energy, meV/atom: -460.7
Symmetry: F-43m (216)

Cell: 7.456 7.456 7.456 Å, 90.00 90.00 90.00°
Sites, in units of the cell vectors:
Ca 0.000 0.000 0.000
Ca 0.000 0.500 0.500
Ca 0.500 0.000 0.500
Ca 0.500 0.500 0.000
Pm 0.000 0.000 0.500
Pm 0.000 0.500 0.000
Pm 0.500 0.000 0.000
Pm 0.500 0.500 0.500
Cd 0.250 0.250 0.750
Cd 0.250 0.750 0.250
Cd 0.750 0.250 0.250
Cd 0.750 0.750 0.750
Ge 0.250 0.250 0.250
Ge 0.250 0.750 0.750
Ge 0.750 0.250 0.750
Ge 0.750 0.750 0.250

Ca2CdGe2Pt5: relaxed, PBE-GGA.

Summary:
Magnetization, μB per cell: 0.0
DFT formation energy, meV/atom: -654.6
Symmetry: P4/mbm (127)

Cell: 9.828 9.828 3.824 Å, 90.00 90.00 90.00°
Sites, in units of the cell vectors:
Ca 0.174 0.326 0.000
Ca 0.326 0.826 0.000
Ca 0.674 0.174 0.000
Ca 0.826 0.674 0.000
Cd 0.000 0.000 0.000
Cd 0.500 0.500 0.000
Ge 0.126 0.626 0.000
Ge 0.374 0.126 0.000
Ge 0.626 0.874 0.000
Ge 0.874 0.374 0.000
Pt 0.000 0.500 0.500
Pt 0.065 0.790 0.500
Pt 0.210 0.065 0.500
Pt 0.290 0.565 0.500
Pt 0.435 0.290 0.500
Pt 0.500 0.000 0.500
Pt 0.565 0.710 0.500
Pt 0.710 0.435 0.500
Pt 0.790 0.935 0.500
Pt 0.935 0.210 0.500